# 1
# Ca2GaBi, optimized geometry, DFT GGA-PBE
# SG: I-42d (122)
# N(E_F), states/eV/cell: 5.29
# Electronic total energy, eV per atom: -3.033
# ΔH_f (0 K), eV/f.u.: -1.2
# V, A^3/atom: 31.133
data_Ca2GaBi
_symmetry_space_group_name_H-M 'P 1'
_symmetry_Int_Tables_number 1
_cell_length_a 6.910
_cell_length_b 6.910
_cell_length_c 6.910
_cell_angle_alpha 105.09
_cell_angle_beta 105.09
_cell_angle_gamma 118.64
loop_
_symmetry_equiv_pos_as_xyz
'x,y,z'
loop_
_atom_site_label
_atom_site_type_symbol
_atom_site_fract_x
_atom_site_fract_y
_atom_site_fract_z
_atom_site_occupancy
Ca1 Ca 0.113 0.125 0.488 1
Ca2 Ca 0.375 0.887 0.012 1
Ca3 Ca 0.637 0.625 0.512 1
Ca4 Ca 0.875 0.363 0.988 1
Ga1 Ga 0.000 0.000 0.000 1
Ga2 Ga 0.750 0.250 0.500 1
Bi1 Bi 0.250 0.750 0.500 1
Bi2 Bi 0.500 0.500 0.000 1

---

# 2
# CrAsAu2, optimized geometry, DFT GGA-PBE
# SG: Pm (6)
# N(E_F), states/eV/cell: 2.08
# Electronic total energy, eV per atom: -5.114
# ΔH_f (0 K), eV/f.u.: 0.4
# V, A^3/atom: 17.623
data_CrAsAu2
_symmetry_space_group_name_H-M 'P 1'
_symmetry_Int_Tables_number 1
_cell_length_a 3.006
_cell_length_b 3.689
_cell_length_c 6.530
_cell_angle_alpha 90.00
_cell_angle_beta 103.25
_cell_angle_gamma 90.00
loop_
_symmetry_equiv_pos_as_xyz
'x,y,z'
loop_
_atom_site_label
_atom_site_type_symbol
_atom_site_fract_x
_atom_site_fract_y
_atom_site_fract_z
_atom_site_occupancy
Cr1 Cr 0.000 0.000 0.000 1
As1 As 0.586 0.500 0.172 1
Au1 Au 0.372 0.500 0.742 1
Au2 Au 0.746 0.000 0.489 1

---

In order of appearance, magnetization = 0.0; 3.2 μB per formula unit.